VASP calculation (PBE with a Hubbard U) on crystalline SrNiPbF6 at its relaxed geometry.

It has space group P-31c (No. 163), with a = 5.9046 Å, b = 5.9046 Å, c = 10.0287 Å, α = 90.00°, β = 90.00° and γ = 120.00°. Symmetry generates all atoms from Sr at (0.0000, 0.0000, 0.0000), Ni at (0.3333, 0.6667, 0.2500), Pb at (0.3333, 0.6667, 0.7500) and F at (0.0540, 0.3723, 0.1353).

The density of states at the Fermi level is 0.00 states/eV/cell. For the raw total energy, the calculation gives -4.92 eV per atom.